Compound: Nd5HgOs2
Source: Alexandria via LeMat-Bulk
Functional: PBE
Structure: relaxed

Geometry as POSCAR:
```
Nd5HgOs2
1.0
-4.716 4.422 -4.706
6.204 1.486 -4.821
-2.301 -8.597 1.021
Nd Hg Os
10 2 4
Direct
0.000 0.000 0.000
0.793 0.971 0.264
0.471 0.293 0.264
0.971 0.471 0.264
0.207 0.029 0.736
0.707 0.207 0.736
0.293 0.793 0.264
0.529 0.707 0.736
0.029 0.529 0.736
0.500 0.500 0.000
0.750 0.750 0.500
0.250 0.250 0.500
0.639 0.139 0.000
0.861 0.639 0.000
0.139 0.361 0.000
0.361 0.861 0.000
```

Calculated values
SG: I4/mcm, No. 140
Energy relative to the elements in eV/atom: -0.21